LaErCo2Ge2C: relaxed, PBE.

extended XYZ file:
```
7
Lattice="-5.4310 -1.6401 -1.3509 -3.0702 -4.8613 -0.9760 2.1756 2.3200 6.2331" Properties=species:S:1:pos:R:3 pbc="T T T"
C -6.3155 -4.1862 3.8011
Co -1.4230 -1.0379 0.0429
Co -4.8898 -3.1359 3.8482
Er -2.2306 -1.2380 3.4089
Ge -6.4515 -4.7436 -0.1306
Ge 0.1199 0.5642 4.0919
La -4.1119 -2.9482 0.5625
```

Computed properties:
Symmetry: Cm
Electronic total energy: -46.2 eV for the cell shown